Density functional theory data (GGA-PBE) for a geometry-optimized MnMo2C structure.

```
MnMo2C
1.0
7.232 0.000 0.000
0.000 7.232 0.000
3.616 3.616 2.002
C Mn Mo
2 2 4
Direct
0.500 0.500 0.000 C
0.250 0.750 0.500 C
0.750 0.250 0.500 Mn
0.000 0.000 0.000 Mn
0.375 0.494 0.750 Mo
0.244 0.625 0.250 Mo
0.875 0.756 0.750 Mo
0.506 0.125 0.250 Mo
```

Summary:
Formation energy from the elements ... 0.338 eV per atom
Size of the total moment ... 0.00 μB per cell
E_tot ... -9.68 eV per atom
Symmetry ... I-42d, No. 122

***

Density functional theory data (GGA-PBE) for a geometry-optimized MnMoC3 structure.

```
MnMoC3
1.0
4.022 0.000 0.000
0.000 4.022 0.000
0.000 0.000 4.022
C Mo Mn
3 1 1
Direct
0.000 0.000 0.500 C
0.000 0.500 0.000 C
0.500 0.000 0.000 C
0.000 0.000 0.000 Mo
0.500 0.500 0.500 Mn
```

Summary:
Formation energy from the elements ... 2.384 eV per atom
Size of the total moment ... 0.38 μB per cell
E_tot ... -7.15 eV per atom
Symmetry ... Pm-3m, No. 221
E above lowest polymorph ... 470.3 meV/atom

***

Density functional theory data (GGA-PBE) for a geometry-optimized Mn2Mo3C structure.

```
Mn2Mo3C
1.0
-5.040 0.334 4.462
-4.472 -0.151 -5.040
-0.150 -6.730 0.335
C Mn Mo
4 8 12
Direct
0.375 0.375 0.375 C
0.625 0.875 0.125 C
0.125 0.625 0.875 C
0.875 0.125 0.625 C
0.678 0.678 0.678 Mn
0.822 0.322 0.178 Mn
0.322 0.178 0.822 Mn
0.428 0.928 0.572 Mn
0.072 0.072 0.072 Mn
0.572 0.428 0.928 Mn
0.928 0.572 0.428 Mn
0.178 0.822 0.322 Mn
0.953 0.375 0.797 Mo
0.797 0.953 0.375 Mo
0.547 0.625 0.297 Mo
0.047 0.875 0.703 Mo
0.297 0.547 0.625 Mo
0.203 0.453 0.125 Mo
0.453 0.125 0.203 Mo
0.703 0.047 0.875 Mo
0.125 0.203 0.453 Mo
0.375 0.797 0.953 Mo
0.625 0.297 0.547 Mo
0.875 0.703 0.047 Mo
```

Summary:
Formation energy from the elements ... 0.058 eV per atom
Size of the total moment ... 8.08 μB per cell
E_tot ... -9.95 eV per atom
Symmetry ... P4_132, No. 213

***

Density functional theory data (GGA-PBE) for a geometry-optimized MnMoC2 structure.

```
MnMoC2
1.0
4.570 0.000 0.000
0.000 4.570 0.000
2.285 2.285 4.518
Mn C Mo
2 4 2
Direct
0.250 0.750 0.500 Mn
0.500 0.500 0.000 Mn
0.375 0.392 0.750 C
0.875 0.858 0.750 C
0.608 0.125 0.250 C
0.142 0.625 0.250 C
0.750 0.250 0.500 Mo
0.000 0.000 0.000 Mo
```

Summary:
Formation energy from the elements ... 0.467 eV per atom
Size of the total moment ... 4.42 μB per cell
E_tot ... -9.15 eV per atom
Symmetry ... I-42d, No. 122
E above lowest polymorph ... 0.0 meV/atom

***

Density functional theory data (GGA-PBE) for a geometry-optimized Mn20Mo3C6 structure.

```
Mn20Mo3C6
1.0
-3.357 -4.222 -5.126
-6.020 -3.978 1.819
-6.682 1.950 -2.631
Mn Mo C
20 3 6
Direct
0.659 0.000 0.000 Mn
0.341 0.000 0.000 Mn
0.000 0.659 0.000 Mn
0.659 0.000 0.341 Mn
0.616 0.616 0.152 Mn
0.000 0.000 0.659 Mn
0.341 0.659 0.000 Mn
0.659 0.341 0.000 Mn
0.000 0.659 0.341 Mn
0.384 0.384 0.384 Mn
0.384 0.848 0.384 Mn
0.000 0.000 0.341 Mn
0.000 0.341 0.000 Mn
0.616 0.616 0.616 Mn
0.848 0.384 0.384 Mn
0.384 0.384 0.848 Mn
0.152 0.616 0.616 Mn
0.341 0.000 0.659 Mn
0.000 0.341 0.659 Mn
0.616 0.152 0.616 Mn
0.250 0.250 0.250 Mo
0.000 0.000 0.000 Mo
0.750 0.750 0.750 Mo
0.726 0.274 0.274 C
0.274 0.274 0.726 C
0.274 0.726 0.274 C
0.726 0.274 0.726 C
0.726 0.726 0.274 C
0.274 0.726 0.726 C
```

Summary:
Formation energy from the elements ... -0.062 eV per atom
Size of the total moment ... 16.70 μB per cell
E_tot ... -9.41 eV per atom
Symmetry ... Fm-3m, No. 225

***

Density functional theory data (GGA-PBE) for a geometry-optimized MnMo2C structure.

```
MnMo2C
1.0
3.024 0.000 0.000
1.512 2.619 0.000
1.512 0.873 6.740
Mo Mn C
2 1 1
Direct
0.275 0.275 0.176 Mo
0.725 0.725 0.824 Mo
0.500 0.500 0.500 Mn
0.000 0.000 0.000 C
```

Summary:
Formation energy from the elements ... 0.114 eV per atom
Size of the total moment ... 2.64 μB per cell
E_tot ... -9.90 eV per atom
Symmetry ... R-3m, No. 166

***

Density functional theory data (GGA-PBE) for a geometry-optimized MnMoC structure.

```
MnMoC
1.0
-2.010 1.867 1.030
-3.029 -2.633 -1.139
3.613 -1.253 5.156
Mo Mn C
2 2 2
Direct
0.431 0.308 0.861 Mo
0.173 0.663 0.346 Mo
0.762 0.306 0.523 Mn
0.988 0.903 0.975 Mn
0.589 0.204 0.179 C
0.824 0.874 0.648 C
```

Summary:
Formation energy from the elements ... 0.114 eV per atom
Size of the total moment ... 0.06 μB per cell
E_tot ... -9.63 eV per atom
Symmetry ... Cm, No. 8

***

Density functional theory data (GGA-PBE) for a geometry-optimized MnMoC3 structure.

```
MnMoC3
1.0
-0.912 -2.865 2.143
3.546 -1.018 0.148
0.476 2.095 3.003
C Mo Mn
3 1 1
Direct
0.000 0.500 0.000 C
0.000 0.000 0.500 C
0.500 0.000 0.000 C
0.500 0.500 0.500 Mo
0.000 0.000 0.000 Mn
```

Summary:
Formation energy from the elements ... 1.914 eV per atom
Size of the total moment ... 0.00 μB per cell
E_tot ... -7.62 eV per atom
Symmetry ... Pm-3m, No. 221
E above lowest polymorph ... 0.0 meV/atom

***

Density functional theory data (GGA-PBE) for a geometry-optimized NaMn2MoC structure.

```
NaMn2MoC
1.0
4.543 0.000 0.000
0.000 4.815 0.000
0.000 0.000 4.543
C Mn Mo Na
1 2 1 1
Direct
0.500 0.500 0.500 C
0.500 0.000 0.000 Mn
0.000 0.000 0.500 Mn
0.000 0.500 0.000 Mo
0.000 0.000 0.000 Na
```

Summary:
Formation energy from the elements ... 3.170 eV per atom
Size of the total moment ... 5.32 μB per cell
E_tot ... -4.77 eV per atom
Symmetry ... P4/mmm, No. 123

***

Density functional theory data (GGA-PBE) for a geometry-optimized MnNbMo2C structure.

```
MnNbMo2C
1.0
-2.825 -3.150 0.652
2.937 -2.172 2.232
-1.154 1.690 3.164
Nb C Mn Mo
1 1 1 2
Direct
0.500 0.500 0.500 Nb
0.000 0.000 0.000 C
0.000 0.000 0.500 Mn
0.500 0.000 0.000 Mo
0.000 0.500 0.000 Mo
```

Summary:
Formation energy from the elements ... -0.028 eV per atom
Size of the total moment ... 2.69 μB per cell
E_tot ... -10.05 eV per atom
Symmetry ... P4/mmm, No. 123

***

Density functional theory data (GGA-PBE) for a geometry-optimized Mn2NbMoC structure.

```
Mn2NbMoC
1.0
-0.865 -3.106 -2.128
-1.232 -1.830 3.172
-3.893 1.520 -0.635
Mn Nb C Mo
2 1 1 1
Direct
0.500 0.000 0.000 Mn
0.000 0.500 0.000 Mn
0.500 0.500 0.500 Nb
0.000 0.000 0.000 C
0.000 0.000 0.500 Mo
```

Summary:
Formation energy from the elements ... -0.043 eV per atom
Size of the total moment ... 2.51 μB per cell
E_tot ... -9.74 eV per atom
Symmetry ... P4/mmm, No. 123

***

Density functional theory data (GGA-PBE) for a geometry-optimized NdMnMoC3 structure.

```
NdMnMoC3
1.0
3.322 0.000 0.000
0.000 6.870 0.289
0.000 -2.350 7.086
C Mo Nd Mn
6 2 2 2
Direct
0.750 0.173 0.532 C
0.250 0.122 0.855 C
0.250 0.827 0.468 C
0.250 0.544 0.843 C
0.750 0.878 0.145 C
0.750 0.456 0.157 C
0.750 0.349 0.871 Mo
0.250 0.651 0.129 Mo
0.750 0.809 0.792 Nd
0.250 0.191 0.208 Nd
0.750 0.893 0.393 Mn
0.250 0.107 0.607 Mn
```

Summary:
Formation energy from the elements ... 0.115 eV per atom
Size of the total moment ... 0.00 μB per cell
E_tot ... -8.62 eV per atom
Symmetry ... P2_1/m, No. 11